1.
{
  "formula": "Cd2Hg2Bi",
  "functional": "PBE",
  "state": "optimized geometry",
  "lattice_angstrom": [[3.917, -2.955, 0.000], [3.917, 2.955, 0.000], [-1.835, 0.000, 5.950]],
  "species": ["Cd", "Cd", "Hg", "Hg", "Bi"],
  "frac_coords": [[0.170, 0.170, 0.184], [0.830, 0.830, 0.816], [0.248, 0.752, 0.500], [0.752, 0.248, 0.500], [0.500, 0.500, 0.000]],
  "dos_ef_per_ev_fu": 1.91,
  "relative_energy_ev_per_atom": 0.019,
  "volume_a3_per_cell": 137.73,
  "formation_enthalpy_0k_ev_per_atom": 0.079,
  "crystal_system": "monoclinic",
  "total_magnetization_mub_per_cell": 0.00
}

---

2.
{
  "formula": "Cd3Hg4Bi2",
  "functional": "PBE",
  "state": "optimized geometry",
  "lattice_angstrom": [[4.739, 0.000, 0.000], [1.151, 4.629, 0.000], [1.463, -0.236, 11.087]],
  "species": ["Cd", "Cd", "Cd", "Hg", "Hg", "Hg", "Hg", "Bi", "Bi"],
  "frac_coords": [[0.000, 0.000, 0.000], [0.326, 0.042, 0.669], [0.674, 0.958, 0.331], [0.221, 0.687, 0.458], [0.443, 0.326, 0.898], [0.557, 0.674, 0.102], [0.779, 0.313, 0.542], [0.104, 0.324, 0.233], [0.896, 0.676, 0.767]],
  "dos_ef_per_ev_fu": 2.07,
  "volume_a3_per_cell": 243.20,
  "formation_enthalpy_0k_ev_per_atom": 0.048,
  "crystal_system": "triclinic",
  "total_magnetization_mub_per_cell": 0.00
}